1.
Below is a relaxed Hf2SiN crystal, with properties calculated at the PBE level.

SG   I-42d
Total energy   -9.1656 eV/atom
Density   9.77 g cm⁻³
Total moment   0.00 μB/f.u.
E above lowest polymorph   1.07 eV per formula unit

Cell lengths 6.329, 6.329, 6.773 Å; angles 90.00, 90.00, 90.00 degrees
Sites, in units of the cell vectors:
Hf  0.170  0.250  0.125
Hf  0.250  0.670  0.375
Hf  0.250  0.830  0.875
Hf  0.330  0.250  0.625
Hf  0.670  0.750  0.625
Hf  0.750  0.170  0.875
Hf  0.750  0.330  0.375
Hf  0.830  0.750  0.125
Si  0.000  0.000  0.500
Si  0.000  0.500  0.750
Si  0.500  0.000  0.250
Si  0.500  0.500  0.000
N  0.000  0.000  0.000
N  0.000  0.500  0.250
N  0.500  0.000  0.750
N  0.500  0.500  0.500

2.
Below is a relaxed KTa2Re crystal, with properties calculated at the PBE level.

Energy of formation from the pure elements   1.51 eV/atom
SG   F-43m
Total energy   -7.8040 eV/atom
Density   12.63 g cm⁻³
Total moment   0.00 μB/f.u.
E above lowest polymorph   3.70 eV per formula unit

Cell lengths 6.759, 6.759, 6.759 Å; angles 90.00, 90.00, 90.00 degrees
Sites, in units of the cell vectors:
K  0.000  0.000  0.000
K  0.000  0.500  0.500
K  0.500  0.000  0.500
K  0.500  0.500  0.000
Ta  0.000  0.000  0.500
Ta  0.000  0.500  0.000
Ta  0.250  0.250  0.750
Ta  0.250  0.750  0.250
Ta  0.500  0.000  0.000
Ta  0.500  0.500  0.500
Ta  0.750  0.250  0.250
Ta  0.750  0.750  0.750
Re  0.250  0.250  0.250
Re  0.250  0.750  0.750
Re  0.750  0.250  0.750
Re  0.750  0.750  0.250

3.
Below is a relaxed BeCuN2F crystal, with properties calculated at the PBE level.

SG   P4/mmm
Total energy   -4.7397 eV/atom
Density   4.52 g cm⁻³
Total moment   1.39 μB/f.u.
E above lowest polymorph   0.00 eV per formula unit

Cell lengths 3.450, 3.450, 3.688 Å; angles 90.00, 90.00, 90.00 degrees
Sites, in units of the cell vectors:
Be  0.000  0.000  0.000
Cu  0.500  0.500  0.500
N  0.000  0.500  0.000
N  0.500  0.000  0.000
F  0.000  0.000  0.500

4.
Below is a relaxed GaSO4 crystal, with properties calculated at the PBE level.

SG   I-4
Total energy   -5.6493 eV/atom
Density   2.61 g cm⁻³
Total moment   0.92 μB/f.u.
E above lowest polymorph   0.00 eV per formula unit

Cell lengths 5.525, 5.525, 6.917 Å; angles 90.00, 90.00, 90.00 degrees
Sites, in units of the cell vectors:
Ga  0.000  0.000  0.000
Ga  0.500  0.500  0.500
S  0.000  0.500  0.750
S  0.500  0.000  0.250
O  0.134  0.320  0.872
O  0.180  0.634  0.628
O  0.320  0.866  0.128
O  0.366  0.180  0.372
O  0.634  0.820  0.372
O  0.680  0.134  0.128
O  0.820  0.366  0.628
O  0.866  0.680  0.872

5.
Below is a relaxed LiPu2H12Rh3 crystal, with properties calculated at the PBE level.

SG   R-3m
Total energy   -5.4141 eV/atom
Density   8.61 g cm⁻³
Total moment   11.96 μB/f.u.

Cell lengths 5.889, 5.889, 5.889 Å; angles 64.03, 64.03, 64.03 degrees
Sites, in units of the cell vectors:
Li  0.000  0.000  0.000
Pu  0.385  0.385  0.385
Pu  0.615  0.615  0.615
H  0.121  0.121  0.617
H  0.121  0.617  0.121
H  0.143  0.682  0.682
H  0.318  0.318  0.857
H  0.318  0.857  0.318
H  0.383  0.879  0.879
H  0.617  0.121  0.121
H  0.682  0.143  0.682
H  0.682  0.682  0.143
H  0.857  0.318  0.318
H  0.879  0.383  0.879
H  0.879  0.879  0.383
Rh  0.000  0.000  0.500
Rh  0.000  0.500  0.000
Rh  0.500  0.000  0.000

6.
Below is a relaxed Ca3La2Pb4 crystal, with properties calculated at the PBE level.

Energy of formation from the pure elements   -0.61 eV/atom
SG   P2_1/c
Total energy   -4.0245 eV/atom
Density   6.96 g cm⁻³
Total moment   0.00 μB/f.u.

Cell lengths 8.636, 8.734, 8.118 Å; angles 90.00, 107.06, 90.00 degrees
Sites, in units of the cell vectors:
Ca  0.000  0.000  0.000
Ca  0.000  0.500  0.500
Ca  0.255  0.168  0.749
Ca  0.255  0.332  0.249
Ca  0.745  0.668  0.751
Ca  0.745  0.832  0.251
La  0.309  0.688  0.932
La  0.309  0.812  0.432
La  0.691  0.188  0.568
La  0.691  0.312  0.068
Pb  0.012  0.630  0.133
Pb  0.012  0.870  0.633
Pb  0.420  0.035  0.149
Pb  0.420  0.465  0.649
Pb  0.580  0.535  0.351
Pb  0.580  0.965  0.851
Pb  0.988  0.130  0.367
Pb  0.988  0.370  0.867

7.
Below is a relaxed Ca2CdGaO5 crystal, with properties calculated at the PBE level.

SG   Cmc2_1
Total energy   -5.6342 eV/atom
Density   4.64 g cm⁻³
Total moment   1.04 μB/f.u.

Cell lengths 7.155, 7.155, 10.663 Å; angles 90.00, 90.00, 153.36 degrees
Sites, in units of the cell vectors:
Ca  0.123  0.877  0.500
Ca  0.124  0.876  0.018
Ca  0.876  0.124  0.518
Ca  0.877  0.123  0.000
Cd  0.238  0.762  0.771
Cd  0.762  0.238  0.271
Ga  0.497  0.503  0.254
Ga  0.503  0.497  0.754
O  0.065  0.935  0.802
O  0.273  0.727  0.125
O  0.283  0.717  0.421
O  0.390  0.610  0.845
O  0.490  0.510  0.580
O  0.510  0.490  0.080
O  0.610  0.390  0.345
O  0.717  0.283  0.921
O  0.727  0.273  0.625
O  0.935  0.065  0.302

8.
Below is a relaxed YTlNi3 crystal, with properties calculated at the PBE level.

Energy of formation from the pure elements   0.65 eV/atom
SG   Pm-3m
Total energy   -4.5819 eV/atom
Density   7.33 g cm⁻³
Total moment   0.00 μB/f.u.
E above lowest polymorph   0.00 eV per formula unit

Cell lengths 4.737, 4.737, 4.737 Å; angles 90.00, 90.00, 90.00 degrees
Sites, in units of the cell vectors:
Y  0.000  0.000  0.000
Tl  0.500  0.500  0.500
Ni  0.000  0.500  0.500
Ni  0.500  0.000  0.500
Ni  0.500  0.500  0.000

9.
Below is a relaxed FeCu2Tc crystal, with properties calculated at the PBE level.

Energy of formation from the pure elements   0.26 eV/atom
SG   P2/m
Total energy   -6.4980 eV/atom
Density   9.18 g cm⁻³
Total moment   2.57 μB/f.u.
E above lowest polymorph   0.43 eV per formula unit

Cell lengths 2.489, 4.191, 5.017 Å; angles 90.00, 103.77, 90.00 degrees
Sites, in units of the cell vectors:
Fe  0.000  0.000  0.000
Cu  0.189  0.500  0.756
Cu  0.811  0.500  0.244
Tc  0.500  0.000  0.500

10.
Below is a relaxed CeHg2As2Pd7 crystal, with properties calculated at the PBE level.

Energy of formation from the pure elements   -0.36 eV/atom
SG   I4/mmm
Total energy   -4.7115 eV/atom
Density   9.87 g cm⁻³
Total moment   0.47 μB/f.u.

Cell lengths 15.175, 15.175, 15.175 Å; angles 164.75, 164.75, 21.62 degrees
Sites, in units of the cell vectors:
Ce  0.000  0.000  0.000
Hg  0.203  0.203  0.000
Hg  0.797  0.797  0.000
As  0.377  0.377  0.000
As  0.623  0.623  0.000
Pd  0.073  0.573  0.500
Pd  0.296  0.296  0.000
Pd  0.427  0.927  0.500
Pd  0.500  0.500  0.000
Pd  0.573  0.073  0.500
Pd  0.704  0.704  0.000
Pd  0.927  0.427  0.500

11.
Below is a relaxed Tb6NdDy4 crystal, with properties calculated at the PBE level.

Energy of formation from the pure elements   0.12 eV/atom
SG   Cmcm
Total energy   -4.5085 eV/atom
Density   8.17 g cm⁻³
Total moment   0.00 μB/f.u.
E above lowest polymorph   0.00 eV per formula unit

Cell lengths 5.602, 5.602, 25.670 Å; angles 90.00, 90.00, 118.12 degrees
Sites, in units of the cell vectors:
Tb  0.000  0.000  0.000
Tb  0.000  0.000  0.500
Tb  0.037  0.963  0.750
Tb  0.300  0.700  0.102
Tb  0.300  0.700  0.398
Tb  0.370  0.630  0.681
Tb  0.370  0.630  0.819
Tb  0.630  0.370  0.181
Tb  0.630  0.370  0.319
Tb  0.700  0.300  0.602
Tb  0.700  0.300  0.898
Tb  0.963  0.037  0.250
Nd  0.299  0.701  0.250
Nd  0.701  0.299  0.750
Dy  0.041  0.959  0.621
Dy  0.041  0.959  0.879
Dy  0.348  0.652  0.543
Dy  0.348  0.652  0.957
Dy  0.652  0.348  0.043
Dy  0.652  0.348  0.457
Dy  0.959  0.041  0.121
Dy  0.959  0.041  0.379

12.
Below is a relaxed YHgRh2 crystal, with properties calculated at the PBE level.

Energy of formation from the pure elements   -0.34 eV/atom
SG   Amm2
Total energy   -5.7045 eV/atom
Density   10.62 g cm⁻³
Total moment   0.00 μB/f.u.

Cell lengths 4.346, 3.423, 10.407 Å; angles 90.00, 90.00, 90.00 degrees
Sites, in units of the cell vectors:
Y  0.000  0.000  0.000
Y  0.000  0.500  0.500
Hg  0.500  0.000  0.696
Hg  0.500  0.500  0.196
Rh  0.000  0.000  0.266
Rh  0.000  0.500  0.766
Rh  0.500  0.000  0.424
Rh  0.500  0.500  0.924

- Look up the total energy of the fourth one.
  -5.6493 eV/atom